# 1
The following is a PBE calculation of a geometry-optimized NdSm2PuS4 structure, from Alexandria.

**Density of states at the Fermi level**: 1.061 states/eV per atom
**Total magnetic moment**: 5.76 μB per formula unit
**Formation energy (no corrections)**: -45.537 kcal/mol of atoms
**E_tot**: -7.606 eV per atom
**Calculated volume**: 22.8 A^3/atom

Cell and atoms, written as CIF:
```
data_NdSm2PuS4
_chemical_formula_sum 'Nd1 Sm2 Pu1 S4'
_space_group_name_H-M_alt 'P 1'
_space_group_IT_number 1
_cell_length_a 6.954
_cell_length_b 4.000
_cell_length_c 6.961
_cell_angle_alpha 90.00
_cell_angle_beta 109.27
_cell_angle_gamma 90.00
loop_
_space_group_symop_operation_xyz
'x,y,z'
loop_
_atom_site_label
_atom_site_fract_x
_atom_site_fract_y
_atom_site_fract_z
_atom_site_occupancy
Nd1 0.000 0.000 0.000 1
Sm1 0.500 0.000 0.500 1
Sm2 0.500 0.500 0.000 1
Pu1 0.000 0.500 0.500 1
S1 0.248 0.000 0.745 1
S2 0.252 0.500 0.255 1
S3 0.748 0.500 0.745 1
S4 0.752 0.000 0.255 1
```

=====

# 2
The following is a PBE calculation of a geometry-optimized LaSc3Sb3 structure, from Alexandria.

**Density of states at the Fermi level**: 1.156 states/eV per atom
**Total magnetic moment**: 0.00 μB per formula unit
**Formation energy (no corrections)**: -16.624 kcal/mol of atoms
**E_tot**: -5.905 eV per atom
**Calculated volume**: 31.9 A^3/atom

Cell and atoms, written as CIF:
```
data_LaSc3Sb3
_chemical_formula_sum 'La2 Sc6 Sb6'
_space_group_name_H-M_alt 'P 1'
_space_group_IT_number 1
_cell_length_a 8.870
_cell_length_b 8.870
_cell_length_c 8.870
_cell_angle_alpha 55.93
_cell_angle_beta 55.93
_cell_angle_gamma 55.93
loop_
_space_group_symop_operation_xyz
'x,y,z'
loop_
_atom_site_label
_atom_site_fract_x
_atom_site_fract_y
_atom_site_fract_z
_atom_site_occupancy
La1 0.167 0.167 0.167 1
La2 0.833 0.833 0.833 1
Sc1 0.077 0.379 0.687 1
Sc2 0.313 0.923 0.621 1
Sc3 0.379 0.687 0.077 1
Sc4 0.621 0.313 0.923 1
Sc5 0.687 0.077 0.379 1
Sc6 0.923 0.621 0.313 1
Sb1 0.062 0.772 0.418 1
Sb2 0.228 0.582 0.938 1
Sb3 0.418 0.062 0.772 1
Sb4 0.582 0.938 0.228 1
Sb5 0.772 0.418 0.062 1
Sb6 0.938 0.228 0.582 1
```

=====

# 3
The following is a PBE calculation of a geometry-optimized CdPCl structure, from Alexandria.

**Density of states at the Fermi level**: 0.452 states/eV per atom
**Total magnetic moment**: 0.00 μB per formula unit
**Formation energy (no corrections)**: 3.736 kcal/mol of atoms
**E_tot**: -2.562 eV per atom
**Calculated volume**: 23.7 A^3/atom

Cell and atoms, written as CIF:
```
data_CdPCl
_chemical_formula_sum 'Cd1 P1 Cl1'
_space_group_name_H-M_alt 'P 1'
_space_group_IT_number 1
_cell_length_a 7.533
_cell_length_b 7.533
_cell_length_c 7.533
_cell_angle_alpha 155.90
_cell_angle_beta 155.90
_cell_angle_gamma 34.35
loop_
_space_group_symop_operation_xyz
'x,y,z'
loop_
_atom_site_label
_atom_site_fract_x
_atom_site_fract_y
_atom_site_fract_z
_atom_site_occupancy
Cd1 0.000 0.000 0.000 1
P1 0.367 0.367 0.000 1
Cl1 0.617 0.617 0.000 1
```

=====

Which value of density of states at the Fermi level does entry 3 give? 0.452 states/eV per atom

=====

Repeat the second record exactly.
The following is a PBE calculation of a geometry-optimized LaSc3Sb3 structure, from Alexandria.

**Density of states at the Fermi level**: 1.156 states/eV per atom
**Total magnetic moment**: 0.00 μB per formula unit
**Formation energy (no corrections)**: -16.624 kcal/mol of atoms
**E_tot**: -5.905 eV per atom
**Calculated volume**: 31.9 A^3/atom

Cell and atoms, written as CIF:
```
data_LaSc3Sb3
_chemical_formula_sum 'La2 Sc6 Sb6'
_space_group_name_H-M_alt 'P 1'
_space_group_IT_number 1
_cell_length_a 8.870
_cell_length_b 8.870
_cell_length_c 8.870
_cell_angle_alpha 55.93
_cell_angle_beta 55.93
_cell_angle_gamma 55.93
loop_
_space_group_symop_operation_xyz
'x,y,z'
loop_
_atom_site_label
_atom_site_fract_x
_atom_site_fract_y
_atom_site_fract_z
_atom_site_occupancy
La1 0.167 0.167 0.167 1
La2 0.833 0.833 0.833 1
Sc1 0.077 0.379 0.687 1
Sc2 0.313 0.923 0.621 1
Sc3 0.379 0.687 0.077 1
Sc4 0.621 0.313 0.923 1
Sc5 0.687 0.077 0.379 1
Sc6 0.923 0.621 0.313 1
Sb1 0.062 0.772 0.418 1
Sb2 0.228 0.582 0.938 1
Sb3 0.418 0.062 0.772 1
Sb4 0.582 0.938 0.228 1
Sb5 0.772 0.418 0.062 1
Sb6 0.938 0.228 0.582 1
```

=====

Among the records above, which one has the lowest density of states at the Fermi level? CdPCl

=====

Which formula does entry 2 have? LaSc3Sb3